Record 1
# LaPm3Dy6Th2

An optimized crystal structure of LaPm3Dy6Th2 (PBE, Alexandria).

Computed properties:
**Symmetry**: C2/m (12)

a = 6.246 Å, b = 6.246 Å, c = 11.766 Å
α = 95.08°, β = 95.08°, γ = 119.98°
Sites, in units of the cell vectors:
Th1 0.333 0.667 0.000
Th2 0.667 0.333 0.000
Pm1 0.500 0.500 0.500
Pm2 0.166 0.834 0.500
Pm3 0.834 0.166 0.500
Dy1 0.744 0.744 0.247
Dy2 0.256 0.256 0.753
Dy3 0.579 0.918 0.754
Dy4 0.421 0.082 0.246
Dy5 0.918 0.579 0.754
Dy6 0.082 0.421 0.246
La1 0.000 0.000 0.000

---

Record 2
# La4Pm2DyTh

An optimized crystal structure of La4Pm2DyTh (PBE, Alexandria).

Computed properties:
**Symmetry**: Pmmm (47)

a = 6.143 Å, b = 9.626 Å, c = 6.132 Å
α = 50.40°, β = 90.00°, γ = 90.00°
Sites, in units of the cell vectors:
La1 0.500 0.733 0.267
La2 0.000 0.267 0.233
La3 0.500 0.267 0.733
La4 0.000 0.733 0.767
Pm1 0.000 0.000 0.000
Pm2 0.500 0.000 0.500
Th1 0.500 0.500 0.000
Dy1 0.000 0.500 0.500

---

Number 1: E_form 0.023 eV per atom, E -5.1134 eV per atom, size of the total moment 0.00 μB per formula unit. Number 2: E_form 0.121 eV per atom, E -5.0326 eV per atom, size of the total moment 0.00 μB per formula unit.